Arrangement one

The following is a GGA-PBE calculation of a geometry-optimized Li3AgS structure, from Alexandria.

Summary:
crystal system	cubic
symmetry	Pm-3m, No. 221
V	99.7	Å³/cell

a = 4.6368 Å, b = 4.6368 Å, c = 4.6368 Å
α = 90.00°, β = 90.00°, γ = 90.00°
Fractional positions:
Li 0.0000 0.0000 0.5000
Li 0.0000 0.5000 0.0000
Li 0.5000 0.0000 0.0000
Ag 0.5000 0.5000 0.5000
S 0.0000 0.0000 0.0000

***

Arrangement two

The following is a GGA-PBE calculation of a geometry-optimized Li3AgS structure, from Alexandria.

Summary:
crystal system	cubic
symmetry	Pm-3m, No. 221
V	104.9	Å³/cell

a = 4.7165 Å, b = 4.7165 Å, c = 4.7165 Å
α = 90.00°, β = 90.00°, γ = 90.00°
Fractional positions:
Li 0.0000 0.0000 0.5000
Li 0.0000 0.5000 0.0000
Li 0.5000 0.0000 0.0000
Ag 0.0000 0.0000 0.0000
S 0.5000 0.5000 0.5000

***

Energetically preferred structure: arrangement one | next structure: +0.543 eV/atom

***

Arrangement one

The following is a GGA-PBE calculation of a geometry-optimized LiAgSb2 structure, from Alexandria.

Summary:
crystal system	cubic
symmetry	F-43m, No. 216
V	94.1	Å³/cell

a = 5.1059 Å, b = 5.1059 Å, c = 5.1059 Å
α = 60.00°, β = 60.00°, γ = 60.00°
Fractional positions:
Li 0.0000 0.0000 0.0000
Ag 0.2500 0.2500 0.2500
Sb 0.5000 0.5000 0.5000
Sb 0.7500 0.7500 0.7500

***

Arrangement two

The following is a GGA-PBE calculation of a geometry-optimized LiAgSb2 structure, from Alexandria.

Summary:
crystal system	tetragonal
symmetry	P4mm, No. 99
V	90.4	Å³/cell

a = 3.3043 Å, b = 3.3043 Å, c = 8.2787 Å
α = 90.00°, β = 90.00°, γ = 90.00°
Fractional positions:
Li 0.0000 0.0000 0.0000
Ag 0.5000 0.5000 0.8347
Sb 0.0000 0.0000 0.6071
Sb 0.5000 0.5000 0.2046

***

Energetically preferred structure: arrangement two | next structure: +0.118 eV/atom